[1]
{"formula": "Rb2CoCuBi", "functional": "PBE", "state": "relaxed", "e_form_ev_per_atom": 0.75, "energy_ev_per_atom": -2.649, "lattice": [[6.6389, 0.0000, 0.0000], [0.0000, 6.6389, 0.0000], [0.0000, 0.0000, 4.4819]], "species": ["Rb", "Rb", "Co", "Cu", "Bi"], "fractional_positions": [[0.0000, 0.5000, 0.0000], [0.5000, 0.0000, 0.0000], [0.0000, 0.0000, 0.0000], [0.0000, 0.0000, 0.5000], [0.5000, 0.5000, 0.5000]]}

---

[2]
{"formula": "HPdCl2", "functional": "PBE", "state": "relaxed", "e_above_lowest_polymorph_mev_per_atom": 0, "energy_ev_per_atom": -3.189, "lattice": [[2.0520, 1.1847, 5.6388], [-2.0520, 1.1847, 5.6388], [0.0000, -2.3695, 5.6388]], "species": ["H", "Pd", "Cl", "Cl"], "fractional_positions": [[0.0000, 0.0000, 0.0000], [0.5000, 0.5000, 0.5000], [0.0925, 0.0925, 0.0925], [0.9075, 0.9075, 0.9075]]}

---

What did we get for size of the total moment? Answer: 0.57 0.25 μB/atom, in the order shown.
What did we get for Fermi-level density of states? Answer: 7.65 3.66 states/eV/f.u., in the order shown.
What did we get for theoretical density? Answer: 4.22 3.60 g/cm3, in the order shown.